Entry 1:
Compound: Ho2TmGe
Source: the Alexandria database
Functional: PBE
Structure: optimized geometry

POSCAR file:
```
Ho2TmGe
1.0
3.534 0.000 0.000
-1.767 3.060 0.000
0.000 0.000 32.484
Ho Tm Ge
6 3 3
Direct
0.000 0.000 0.104
0.000 0.000 0.896
0.333 0.667 0.563
0.333 0.667 0.770
0.667 0.333 0.230
0.667 0.333 0.437
0.000 0.000 0.000
0.333 0.667 0.667
0.667 0.333 0.333
0.000 0.000 0.500
0.333 0.667 0.167
0.667 0.333 0.833
```

Computed properties:
Its space-group type is R-3m, No. 166. The crystal system is trigonal. The formation energy is -19 meV/atom.



Entry 2:
Compound: CsMg3O
Source: the Alexandria database
Functional: PBE
Structure: optimized geometry

POSCAR file:
```
CsMg3O
1.0
4.979 0.000 0.000
0.000 4.979 0.000
0.000 0.000 4.979
Cs Mg O
1 3 1
Direct
0.000 0.000 0.000
0.000 0.500 0.500
0.500 0.000 0.500
0.500 0.500 0.000
0.500 0.500 0.500
```

Computed properties:
Its space-group type is Pm-3m, No. 221. The crystal system is cubic. For the uncorrected formation energy, the calculation gives 0.00 eV per atom.



Entry 3:
Compound: Pr2SmCu
Source: the Alexandria database
Functional: PBE
Structure: optimized geometry

POSCAR file:
```
Pr2SmCu
1.0
7.085 0.000 0.000
0.000 10.203 0.000
0.000 0.000 6.606
Pr Sm Cu
8 4 4
Direct
0.194 0.059 0.174
0.194 0.441 0.174
0.306 0.559 0.674
0.306 0.941 0.674
0.694 0.059 0.326
0.694 0.441 0.326
0.806 0.559 0.826
0.806 0.941 0.826
0.025 0.250 0.643
0.475 0.750 0.143
0.525 0.250 0.857
0.975 0.750 0.357
0.102 0.750 0.937
0.398 0.250 0.437
0.602 0.750 0.563
0.898 0.250 0.063
```

Computed properties:
Its space-group type is Pnma, No. 62. The crystal system is orthorhombic. The formation energy is -54 meV/atom.



Entry 4:
Compound: VCuAg2S4
Source: the Alexandria database
Functional: PBE
Structure: optimized geometry

POSCAR file:
```
VCuAg2S4
1.0
5.416 0.000 0.000
0.000 5.416 0.000
0.000 0.000 11.480
V Cu Ag S
2 2 4 8
Direct
0.000 0.000 0.000
0.500 0.500 0.500
0.000 0.000 0.500
0.500 0.500 0.000
0.000 0.500 0.250
0.000 0.500 0.750
0.500 0.000 0.250
0.500 0.000 0.750
0.240 0.240 0.105
0.240 0.760 0.895
0.260 0.260 0.605
0.260 0.740 0.395
0.740 0.260 0.395
0.740 0.740 0.605
0.760 0.240 0.895
0.760 0.760 0.105
```

Computed properties:
Its space-group type is I-42m, No. 121. The crystal system is tetragonal. For the uncorrected formation energy, the calculation gives -0.39 eV per atom.